SrCrAu4, relaxed, DFT PBE; SG = F-43m; electronic total energy = -4.246 eV/atom; DOS(E_F) = 0.592 states/eV per atom; energy of formation from the pure elements = -0.1770 eV/atom
1.0
0.000 3.998 3.998
3.998 0.000 3.998
3.998 3.998 0.000
Sr Cr Au
1 1 4
Cartesian
0.000 0.000 0.000
1.999 1.999 1.999
4.993 3.003 3.003
3.003 4.993 3.003
3.003 3.003 4.993
4.993 4.993 4.993

SrCrAu2, relaxed, DFT PBE; SG = R-3m; electronic total energy = -4.721 eV/atom; DOS(E_F) = 0.697 states/eV per atom; energy of formation from the pure elements = -0.2558 eV/atom
1.0
2.328 1.344 5.271
-2.328 1.344 5.271
0.000 -2.688 5.271
Sr Cr Au
1 1 2
Cartesian
0.000 0.000 0.000
0.000 0.000 7.906
0.000 0.000 3.260
0.000 0.000 12.552

SrCr2Au, relaxed, DFT PBE; ΔE to the lowest computed polymorph = 0.450 eV per atom; SG = P2/m; electronic total energy = -5.425 eV/atom; DOS(E_F) = 1.032 states/eV per atom; energy of formation from the pure elements = 0.6263 eV/atom
1.0
3.923 0.000 0.000
0.000 5.166 0.000
-0.488 0.000 4.809
Sr Cr Au
1 2 1
Cartesian
0.000 0.000 0.000
1.055 2.583 2.998
2.380 2.583 1.810
1.718 0.000 2.404

SrCrAu2, relaxed, DFT PBE; SG = R3m; electronic total energy = -4.635 eV/atom; DOS(E_F) = 0.666 states/eV per atom; energy of formation from the pure elements = -0.1700 eV/atom
1.0
2.286 1.320 5.600
-2.286 1.320 5.600
0.000 -2.640 5.600
Sr Cr Au
1 1 2
Cartesian
0.000 0.000 0.000
0.000 0.000 13.593
0.000 0.000 3.351
0.000 0.000 7.650

SrCr2Au, relaxed, DFT PBE; ΔE to the lowest computed polymorph = 0.218 eV per atom; SG = Imm2; electronic total energy = -5.657 eV/atom; DOS(E_F) = 0.673 states/eV per atom; energy of formation from the pure elements = 0.3949 eV/atom
1.0
-2.281 2.691 3.700
2.281 -2.691 3.700
2.281 2.691 -3.700
Sr Cr Au
1 2 1
Cartesian
0.000 0.000 0.000
0.000 0.000 3.801
0.000 2.691 1.519
2.281 0.000 2.146

SrCr2Au, relaxed, DFT PBE; ΔE to the lowest computed polymorph = 0.376 eV per atom; SG = P4/mmm; electronic total energy = -5.499 eV/atom; DOS(E_F) = 0.536 states/eV per atom; energy of formation from the pure elements = 0.5523 eV/atom
1.0
4.444 0.000 0.000
0.000 4.444 0.000
0.000 0.000 4.492
Sr Cr Au
1 2 1
Cartesian
0.000 0.000 0.000
0.000 2.222 2.246
2.222 0.000 2.246
2.222 2.222 0.000

SrCrAu3, relaxed, DFT PBE; ΔE to the lowest computed polymorph = 0.000 eV per atom; SG = Pm-3m; electronic total energy = -4.104 eV/atom; DOS(E_F) = 1.246 states/eV per atom; energy of formation from the pure elements = 0.1231 eV/atom
1.0
4.949 0.000 0.000
0.000 4.949 0.000
0.000 0.000 4.949
Sr Cr Au
1 1 3
Cartesian
0.000 0.000 0.000
2.475 2.475 2.475
0.000 2.475 2.475
2.475 0.000 2.475
2.475 2.475 0.000

SrCrAu2, relaxed, DFT PBE; SG = Cmmm; electronic total energy = -4.571 eV/atom; DOS(E_F) = 0.465 states/eV per atom; energy of formation from the pure elements = -0.1064 eV/atom
1.0
3.434 -3.442 0.000
3.434 3.442 0.000
0.000 0.000 3.780
Sr Cr Au
1 1 2
Cartesian
0.000 0.000 0.000
3.434 0.000 0.000
1.717 1.721 1.890
1.717 -1.721 1.890

TaCrAu, relaxed, DFT PBE; ΔE to the lowest computed polymorph = 0.625 eV per atom; SG = F-43m; electronic total energy = -7.487 eV/atom; DOS(E_F) = 1.395 states/eV per atom; energy of formation from the pure elements = 0.7642 eV/atom
1.0
0.000 3.029 3.029
3.029 0.000 3.029
3.029 3.029 0.000
Ta Cr Au
1 1 1
Cartesian
0.000 0.000 0.000
1.515 1.515 1.515
3.029 3.029 3.029

TaCrAu, relaxed, DFT PBE; ΔE to the lowest computed polymorph = 0.194 eV per atom; SG = Fmmm; electronic total energy = -7.918 eV/atom; DOS(E_F) = 1.060 states/eV per atom; energy of formation from the pure elements = 0.3333 eV/atom
1.0
0.000 4.455 4.908
2.239 0.000 4.908
2.239 4.455 0.000
Ta Cr Au
2 2 2
Cartesian
2.239 4.455 1.429
2.239 4.455 8.387
1.119 2.227 2.454
3.358 6.682 7.362
2.239 3.050 4.908
2.239 5.860 4.908

TaCrAu3, relaxed, DFT PBE; ΔE to the lowest computed polymorph = 0.334 eV per atom; SG = Pm-3m; electronic total energy = -4.804 eV/atom; DOS(E_F) = 2.054 states/eV per atom; energy of formation from the pure elements = 1.4578 eV/atom
1.0
4.695 0.000 0.000
0.000 4.695 0.000
0.000 0.000 4.695
Ta Cr Au
1 1 3
Cartesian
0.000 0.000 0.000
2.347 2.347 2.347
0.000 2.347 2.347
2.347 0.000 2.347
2.347 2.347 0.000

TaCrAu, relaxed, DFT PBE; ΔE to the lowest computed polymorph = 0.000 eV per atom; SG = I4mm; electronic total energy = -8.112 eV/atom; DOS(E_F) = 0.480 states/eV per atom; energy of formation from the pure elements = 0.1391 eV/atom
1.0
-1.651 1.651 4.502
1.651 -1.651 4.502
1.651 1.651 -4.502
Ta Cr Au
1 1 1
Cartesian
0.000 0.000 0.000
0.000 0.000 3.200
0.000 0.000 6.127

TaCrAu4, relaxed, DFT PBE; SG = F-43m; electronic total energy = -5.311 eV/atom; DOS(E_F) = 1.221 states/eV per atom; energy of formation from the pure elements = 0.4532 eV/atom
1.0
0.000 3.822 3.822
3.822 0.000 3.822
3.822 3.822 0.000
Ta Cr Au
1 1 4
Cartesian
0.000 0.000 0.000
1.911 1.911 1.911
4.778 2.866 2.866
2.866 4.778 2.866
2.866 2.866 4.778
4.778 4.778 4.778

TaCrAu, relaxed, DFT PBE; ΔE to the lowest computed polymorph = 0.064 eV per atom; SG = Fmm2; electronic total energy = -8.048 eV/atom; DOS(E_F) = 0.926 states/eV per atom; energy of formation from the pure elements = 0.2027 eV/atom
1.0
0.000 2.200 6.482
1.689 0.000 6.482
1.689 2.200 0.000
Ta Cr Au
1 1 1
Cartesian
0.000 0.000 0.000
1.689 2.200 4.497
1.689 2.200 8.825

Ta4CrAu, relaxed, DFT PBE; SG = F-43m; electronic total energy = -9.546 eV/atom; DOS(E_F) = 0.951 states/eV per atom; energy of formation from the pure elements = 0.5064 eV/atom
1.0
0.000 3.828 3.828
3.828 0.000 3.828
3.828 3.828 0.000
Ta Cr Au
4 1 1
Cartesian
0.948 0.948 0.948
2.880 2.880 0.948
2.880 0.948 2.880
0.948 2.880 2.880
5.742 5.742 5.742
3.828 3.828 3.828

Ta2CrAu, relaxed, DFT PBE; ΔE to the lowest computed polymorph = 0.214 eV per atom; SG = P4mm; electronic total energy = -8.933 eV/atom; DOS(E_F) = 0.785 states/eV per atom; energy of formation from the pure elements = 0.2181 eV/atom
1.0
2.755 0.000 0.000
0.000 2.755 0.000
0.000 0.000 8.773
Ta Cr Au
2 1 1
Cartesian
0.000 0.000 0.000
1.377 1.377 2.346
1.377 1.377 6.628
0.000 0.000 4.633

TaCrAu, relaxed, DFT PBE; ΔE to the lowest computed polymorph = 0.718 eV per atom; SG = F-43m; electronic total energy = -7.394 eV/atom; DOS(E_F) = 1.746 states/eV per atom; energy of formation from the pure elements = 0.8571 eV/atom
1.0
0.000 3.088 3.088
3.088 0.000 3.088
3.088 3.088 0.000
Ta Cr Au
1 1 1
Cartesian
0.000 0.000 0.000
4.633 4.633 4.633
1.544 1.544 1.544

Ta2CrAu, relaxed, DFT PBE; ΔE to the lowest computed polymorph = 0.103 eV per atom; SG = P4/mmm; electronic total energy = -9.044 eV/atom; DOS(E_F) = 0.706 states/eV per atom; energy of formation from the pure elements = 0.1070 eV/atom
1.0
4.020 0.000 0.000
0.000 4.020 0.000
0.000 0.000 4.125
Ta Cr Au
2 1 1
Cartesian
0.000 2.010 0.000
2.010 0.000 0.000
0.000 0.000 2.062
2.010 2.010 2.062

Ta2CrAu, relaxed, DFT PBE; ΔE to the lowest computed polymorph = 0.161 eV per atom; SG = I-4m2; electronic total energy = -8.986 eV/atom; DOS(E_F) = 0.885 states/eV per atom; energy of formation from the pure elements = 0.1654 eV/atom
1.0
-1.996 1.996 4.203
1.996 -1.996 4.203
1.996 1.996 -4.203
Ta Cr Au
2 1 1
Cartesian
0.000 0.000 0.000
0.000 1.996 2.102
0.000 0.000 4.203
1.996 0.000 2.102

Ta2CrAu, relaxed, DFT PBE; ΔE to the lowest computed polymorph = 0.215 eV per atom; SG = F-43m; electronic total energy = -8.932 eV/atom; DOS(E_F) = 0.756 states/eV per atom; energy of formation from the pure elements = 0.2193 eV/atom
1.0
0.000 3.227 3.227
3.227 0.000 3.227
3.227 3.227 0.000
Ta Cr Au
2 1 1
Cartesian
0.000 0.000 0.000
1.613 1.613 1.613
4.840 4.840 4.840
3.227 3.227 3.227

Ta2CrAu, relaxed, DFT PBE; ΔE to the lowest computed polymorph = 0.076 eV per atom; SG = P4mm; electronic total energy = -9.071 eV/atom; DOS(E_F) = 0.986 states/eV per atom; energy of formation from the pure elements = 0.0801 eV/atom
1.0
3.292 0.000 0.000
0.000 3.292 0.000
0.000 0.000 6.200
Ta Cr Au
2 1 1
Cartesian
0.000 0.000 0.000
1.646 1.646 1.630
1.646 1.646 4.859
0.000 0.000 3.264

Ta2CrAu, relaxed, DFT PBE; ΔE to the lowest computed polymorph = 0.651 eV per atom; SG = I-42d; electronic total energy = -8.496 eV/atom; DOS(E_F) = 1.045 states/eV per atom; energy of formation from the pure elements = 0.6554 eV/atom
1.0
-1.943 1.943 9.799
1.943 -1.943 9.799
1.943 1.943 -9.799
Ta Cr Au
4 2 2
Cartesian
2.914 0.947 -2.450
0.947 0.971 2.450
-0.971 0.996 7.349
0.996 0.971 12.248
0.000 0.000 0.000
0.000 1.943 4.899
1.943 0.000 4.899
0.000 0.000 9.799

Ta2CrAu, relaxed, DFT PBE; ΔE to the lowest computed polymorph = 0.109 eV per atom; SG = P2/m; electronic total energy = -9.039 eV/atom; DOS(E_F) = 0.975 states/eV per atom; energy of formation from the pure elements = 0.1129 eV/atom
1.0
2.826 0.000 0.000
0.000 4.105 0.000
-0.976 0.000 5.706
Ta Cr Au
2 1 1
Cartesian
-0.014 0.000 1.553
1.863 0.000 4.153
0.925 2.052 2.853
1.413 2.052 0.000

Ta2CrAu, relaxed, DFT PBE; ΔE to the lowest computed polymorph = 0.145 eV per atom; SG = Pm; electronic total energy = -9.002 eV/atom; DOS(E_F) = 0.865 states/eV per atom; energy of formation from the pure elements = 0.1498 eV/atom
1.0
2.897 0.000 0.000
0.000 4.547 0.000
-0.657 0.000 5.083
Ta Cr Au
2 1 1
Cartesian
0.000 0.000 0.000
0.229 2.273 3.460
1.396 0.000 2.732
1.600 2.273 1.045

TaCrAu, relaxed, DFT PBE; ΔE to the lowest computed polymorph = 0.203 eV per atom; SG = P3m1; electronic total energy = -7.909 eV/atom; DOS(E_F) = 1.110 states/eV per atom; energy of formation from the pure elements = 0.3420 eV/atom
1.0
4.561 0.000 0.000
-2.281 3.950 0.000
0.000 0.000 2.665
Ta Cr Au
1 1 1
Cartesian
0.000 0.000 0.000
0.000 2.633 1.338
2.281 1.317 1.333

Ta2Cr2Au, relaxed, DFT PBE; SG = I4/mmm; electronic total energy = -8.795 eV/atom; DOS(E_F) = 1.623 states/eV per atom; energy of formation from the pure elements = 0.4510 eV/atom
1.0
-1.560 1.560 8.444
1.560 -1.560 8.444
1.560 1.560 -8.444
Ta Cr Au
2 2 1
Cartesian
0.000 0.000 1.933
0.000 0.000 14.955
1.560 0.000 4.222
0.000 1.560 4.222
0.000 0.000 8.444

Ta2CrAu, relaxed, DFT PBE; ΔE to the lowest computed polymorph = 0.086 eV per atom; SG = Immm; electronic total energy = -9.061 eV/atom; DOS(E_F) = 0.923 states/eV per atom; energy of formation from the pure elements = 0.0901 eV/atom
1.0
-1.823 2.171 4.167
1.823 -2.171 4.167
1.823 2.171 -4.167
Ta Cr Au
2 1 1
Cartesian
0.000 0.000 1.975
0.000 0.000 6.360
1.823 0.000 0.000
0.000 2.171 0.000

Ta2CrAu, relaxed, DFT PBE; ΔE to the lowest computed polymorph = 0.191 eV per atom; SG = Fm-3m; electronic total energy = -8.956 eV/atom; DOS(E_F) = 0.835 states/eV per atom; energy of formation from the pure elements = 0.1951 eV/atom
1.0
0.000 3.215 3.215
3.215 0.000 3.215
3.215 3.215 0.000
Ta Cr Au
2 1 1
Cartesian
1.607 1.607 1.607
4.822 4.822 4.822
0.000 0.000 0.000
3.215 3.215 3.215

Ta2CrAu, relaxed, DFT PBE; ΔE to the lowest computed polymorph = 0.140 eV per atom; SG = Imm2; electronic total energy = -9.008 eV/atom; DOS(E_F) = 0.938 states/eV per atom; energy of formation from the pure elements = 0.1439 eV/atom
1.0
-1.650 2.246 4.467
1.650 -2.246 4.467
1.650 2.246 -4.467
Ta Cr Au
2 1 1
Cartesian
0.000 0.000 0.000
0.000 2.246 2.104
0.000 0.000 4.626
1.650 0.000 2.396

Ta2CrAu, relaxed, DFT PBE; ΔE to the lowest computed polymorph = 0.307 eV per atom; SG = R-3m; electronic total energy = -8.841 eV/atom; DOS(E_F) = 1.294 states/eV per atom; energy of formation from the pure elements = 0.3108 eV/atom
1.0
1.455 0.840 9.311
-1.455 0.840 9.311
0.000 -1.681 9.311
Ta Cr Au
2 1 1
Cartesian
0.000 0.000 6.876
0.000 0.000 21.057
0.000 0.000 13.967
0.000 0.000 0.000

V / Å³/f.u.: 127.81; 98.98; 97.47; 101.41; 90.86; 88.70; 121.22; 89.36; 55.58; 48.95; 103.47; 49.10; 111.68; 48.15; 112.18; 66.57; 58.92; 66.64; 67.01; 67.20; 67.18; 73.95; 66.19; 66.96; 48.02; 82.15; 65.97; 66.43; 66.21; 68.32